First-principles (GGA-PBE) data for a geometry-optimized ZrSc2Br structure, as listed in the Alexandria database.

Calculated values
raw formation energy: 32 kJ/mol of atoms
calculated total energy: -0.198 Ha/atom
magnetization: 2.165 μB/f.u.
mass density: 4.68 g/cm³

```
data_ZrSc2Br
_chemical_formula_sum 'Zr4 Sc8 Br4'
_cell_length_a 7.181
_cell_length_b 7.181
_cell_length_c 7.181
_cell_angle_alpha 90.00
_cell_angle_beta 90.00
_cell_angle_gamma 90.00
_symmetry_space_group_name_H-M 'F -4 3 m'
_symmetry_Int_Tables_number 216
_symmetry_space_group_name_Hall 'F -4 2 3'
loop_
_atom_site_label
_atom_site_type_symbol
_atom_site_fract_x
_atom_site_fract_y
_atom_site_fract_z
Zr1 Zr 0.000 0.000 0.000
Sc1 Sc 0.000 0.000 0.500
Sc2 Sc 0.250 0.250 0.250
Br1 Br 0.250 0.250 0.750
```